(1)
ZrCuP2 | the Alexandria database | PBE | relaxed; DFT total energy = -6.394 eV/atom; energy of formation = -0.528 eV per atom; SG = Pmmm
1.0
3.479 0.000 0.000
0.000 3.602 0.000
0.000 0.000 5.256
Zr Cu P
1 1 2
direct
0.000 0.000 0.000
0.500 0.000 0.500
0.500 0.500 0.223
0.500 0.500 0.777

---

(2)
ZrCu2P2 | the Alexandria database | PBE | relaxed; DFT total energy = -5.750 eV/atom; energy of formation = -0.238 eV per atom; SG = P4/mbm
1.0
6.923 0.000 0.000
0.000 6.923 0.000
0.000 0.000 3.121
Zr Cu P
2 4 4
direct
0.000 0.000 0.000
0.500 0.500 0.000
0.135 0.365 0.500
0.365 0.865 0.500
0.635 0.135 0.500
0.865 0.635 0.500
0.156 0.656 0.000
0.344 0.156 0.000
0.656 0.844 0.000
0.844 0.344 0.000

---

(3)
ZrCuP2 | the Alexandria database | PBE | relaxed; DFT total energy = -6.264 eV/atom; energy of formation = -0.398 eV per atom; SG = C2/m
1.0
3.307 -1.853 0.000
3.307 1.853 0.000
-1.470 0.000 5.634
Zr Cu P
1 1 2
direct
0.000 0.000 0.000
0.500 0.500 0.500
0.263 0.263 0.731
0.737 0.737 0.269

---

| no. | D(E_F) (states/eV/atom) |
| --- | --- |
| 1 | 0.468 |
| 2 | 0.384 |
| 3 | 0.774 |